Crystalline Tl2GaBr6 at its relaxed geometry, computed with GGA-PBE.

Lattice parameters (Å, degrees): 7.2948 7.6484 12.5674 90.00 124.55 90.00
Element x y z (fractional)
Tl 0.2190 0.0783 0.2469
Tl 0.2190 0.4217 0.7469
Tl 0.7810 0.5783 0.2531
Tl 0.7810 0.9217 0.7531
Ga 0.5000 0.0000 0.0000
Ga 0.5000 0.5000 0.5000
Br 0.1696 0.1853 0.9584
Br 0.1696 0.3147 0.4584
Br 0.2791 0.7175 0.9578
Br 0.2791 0.7825 0.4578
Br 0.3515 0.0168 0.7603
Br 0.3515 0.4832 0.2603
Br 0.6485 0.5168 0.7397
Br 0.6485 0.9832 0.2397
Br 0.7209 0.2175 0.5422
Br 0.7209 0.2825 0.0422
Br 0.8304 0.6853 0.5416
Br 0.8304 0.8147 0.0416

Formation energy (no corrections)   -5.9 eV/f.u.

***

Crystalline Nb4Ir5Ru4 at its relaxed geometry, computed with GGA-PBE.

Lattice parameters (Å, degrees): 7.4117 7.4117 7.4117 94.01 94.01 149.33
Element x y z (fractional)
Nb 0.1378 0.2305 0.3683
Nb 0.2305 0.8622 0.0928
Nb 0.7695 0.1378 0.9072
Nb 0.8622 0.7695 0.6317
Ir 0.0000 0.0000 0.0000
Ir 0.3084 0.4576 0.7660
Ir 0.4576 0.6916 0.1493
Ir 0.5424 0.3084 0.8507
Ir 0.6916 0.5424 0.2340
Ru 0.0769 0.6063 0.6833
Ru 0.3937 0.0769 0.4706
Ru 0.6063 0.9231 0.5294
Ru 0.9231 0.3937 0.3167

Energy of formation   -0.37 eV/atom

***

Crystalline AlPd2RuN at its relaxed geometry, computed with GGA-PBE.

Lattice parameters (Å, degrees): 4.2001 4.2001 3.7986 90.00 90.00 90.00
Element x y z (fractional)
Al 0.0000 0.0000 0.0000
Pd 0.0000 0.5000 0.5000
Pd 0.5000 0.0000 0.5000
Ru 0.5000 0.5000 0.0000
N 0.0000 0.0000 0.5000

Formation energy (no corrections)   1.1 eV/f.u.